Compound: Cs3CrBr6
Source: the Alexandria database
Functional: GGA-PBE
Structure: optimized geometry

Structure (CIF):
```
data_Cs3CrBr6
_space_group_name_H-M_alt 'I 4/m m m'
_space_group_IT_number 139
_space_group_name_Hall '-I 4 2'
_cell_length_a 8.386
_cell_length_b 8.386
_cell_length_c 12.540
_cell_angle_alpha 90.00
_cell_angle_beta 90.00
_cell_angle_gamma 90.00
loop_
_atom_site_label
_atom_site_fract_x
_atom_site_fract_y
_atom_site_fract_z
Cs1 0.000 0.000 0.000
Cs2 0.000 0.500 0.250
Cr1 0.000 0.000 0.500
Br1 0.000 0.000 0.290
Br2 0.000 0.298 0.500
```

The value obtained for the uncorrected formation energy is -1289 kJ/mol of formula units. The excess energy over the best structure of this formula in the dataset is 0.52 eV per formula unit.

Compound: Cs3Ac3YTe8
Source: the Alexandria database
Functional: GGA-PBE
Structure: optimized geometry

Structure (CIF):
```
data_Cs3Ac3YTe8
_space_group_name_H-M_alt 'C 1 2/m 1'
_space_group_IT_number 12
_cell_length_a 16.588
_cell_length_b 9.564
_cell_length_c 10.700
_cell_angle_alpha 90.00
_cell_angle_beta 121.16
_cell_angle_gamma 90.00
loop_
_space_group_symop_operation_xyz
'x,y,z'
'-x,-y,-z'
'-x,y,-z'
'x,-y,z'
'x+1/2,y+1/2,z'
'-x+1/2,-y+1/2,-z'
'-x+1/2,y+1/2,-z'
'x+1/2,-y+1/2,z'
loop_
_atom_site_label
_atom_site_fract_x
_atom_site_fract_y
_atom_site_fract_z
Cs1 0.000 0.000 0.000
Cs2 0.250 0.250 0.000
Ac1 0.000 0.500 0.500
Ac2 0.250 0.250 0.500
Y1 0.000 0.000 0.500
Te1 0.015 0.236 0.309
Te2 0.221 0.000 0.691
Te3 0.235 0.500 0.704
```

The value obtained for the uncorrected formation energy is -2003 kJ/mol of formula units.

Compound: Nd4PSeI2
Source: the Alexandria database
Functional: GGA-PBE
Structure: optimized geometry

Structure (CIF):
```
data_Nd4PSeI2
_space_group_name_H-M_alt 'P 1 2/m 1'
_space_group_IT_number 10
_cell_length_a 7.428
_cell_length_b 4.278
_cell_length_c 8.000
_cell_angle_alpha 90.00
_cell_angle_beta 107.94
_cell_angle_gamma 90.00
loop_
_space_group_symop_operation_xyz
'x,y,z'
'-x,-y,-z'
'-x,y,-z'
'x,-y,z'
loop_
_atom_site_label
_atom_site_fract_x
_atom_site_fract_y
_atom_site_fract_z
Nd1 0.218 0.000 0.189
Nd2 0.257 0.500 0.810
P1 0.000 0.500 0.000
Se1 0.500 0.000 0.000
I1 0.000 0.000 0.500
I2 0.500 0.500 0.500
```

The value obtained for the uncorrected formation energy is -1052 kJ/mol of formula units.

Compound: Co2MoRu
Source: the Alexandria database
Functional: GGA-PBE
Structure: optimized geometry

Structure (CIF):
```
data_Co2MoRu
_space_group_name_H-M_alt 'C m m m'
_space_group_IT_number 65
_space_group_name_Hall '-C 2 2'
_cell_length_a 5.221
_cell_length_b 7.315
_cell_length_c 2.647
_cell_angle_alpha 90.00
_cell_angle_beta 90.00
_cell_angle_gamma 90.00
loop_
_atom_site_label
_atom_site_fract_x
_atom_site_fract_y
_atom_site_fract_z
Co1 0.250 0.250 0.000
Mo1 0.000 0.000 0.500
Ru1 0.000 0.500 0.500
```

The excess energy over the best structure of this formula in the dataset is 0.34 eV per formula unit. As for the energy of formation: 0.094 eV/atom.

Compound: CeTlPb
Source: the Alexandria database
Functional: GGA-PBE
Structure: optimized geometry

Structure (CIF):
```
data_CeTlPb
_space_group_name_H-M_alt 'P m m m'
_space_group_IT_number 47
_cell_length_a 3.447
_cell_length_b 5.586
_cell_length_c 5.601
_cell_angle_alpha 90.00
_cell_angle_beta 90.00
_cell_angle_gamma 90.00
loop_
_space_group_symop_operation_xyz
'x,y,z'
'-x,-y,-z'
'-x,-y,z'
'x,y,-z'
'x,-y,-z'
'-x,y,z'
'-x,y,-z'
'x,-y,z'
loop_
_atom_site_label
_atom_site_fract_x
_atom_site_fract_y
_atom_site_fract_z
Ce1 0.000 0.000 0.000
Tl1 0.500 0.000 0.500
Pb1 0.500 0.500 0.000
```

The excess energy over the best structure of this formula in the dataset is 0.69 eV per formula unit. As for the energy of formation: -0.048 eV/atom.

Compound: Zr2GeTe
Source: the Alexandria database
Functional: GGA-PBE
Structure: optimized geometry

Structure (CIF):
```
data_Zr2GeTe
_space_group_name_H-M_alt 'I -4 2 d'
_space_group_IT_number 122
_space_group_name_Hall 'I -4 2bw'
_cell_length_a 6.277
_cell_length_b 6.277
_cell_length_c 12.693
_cell_angle_alpha 90.00
_cell_angle_beta 90.00
_cell_angle_gamma 90.00
loop_
_atom_site_label
_atom_site_fract_x
_atom_site_fract_y
_atom_site_fract_z
Zr1 0.214 0.250 0.125
Ge1 0.000 0.000 0.000
Te1 0.000 0.000 0.500
```

The value obtained for the uncorrected formation energy is -13 kJ/mol of formula units. The excess energy over the best structure of this formula in the dataset is 3.23 eV per formula unit.